Entry 1:
Computed, not measured: an optimized crystal structure of TlCdTe2 at the PBE level of DFT.

Computed properties:
Space group = Cmm2, No. 35
Calculated volume = 30.57 Å³/atom
Formation energy without anion corrections = 0.0498 eV per atom
VASP energy = -2.34 eV per atom

a = 3.207 Å, b = 3.207 Å, c = 12.182 Å
α = 90.00°, β = 90.00°, γ = 102.65°
Element x y z (fractional)
Tl1 0.000 0.000 0.000
Cd1 0.500 0.500 0.230
Te1 0.000 0.000 0.447
Te2 0.500 0.500 0.764



Entry 2:
Computed, not measured: an optimized crystal structure of TlCd2Te at the PBE level of DFT.

Computed properties:
Space group = Cmmm, No. 65
Calculated volume = 28.09 Å³/atom
Formation energy without anion corrections = 0.0671 eV per atom
Offset from the most stable computed form = 133.8 meV per atom
VASP energy = -1.77 eV per atom

a = 3.276 Å, b = 3.276 Å, c = 10.873 Å
α = 90.00°, β = 90.00°, γ = 105.69°
Element x y z (fractional)
Tl1 0.000 0.000 0.000
Cd1 0.500 0.500 0.253
Cd2 0.500 0.500 0.747
Te1 0.000 0.000 0.500



Entry 3:
Computed, not measured: an optimized crystal structure of TlCdTe2 at the PBE level of DFT.

Computed properties:
Space group = Imm2, No. 44
Calculated volume = 31.91 Å³/atom
Formation energy without anion corrections = -0.1189 eV per atom
VASP energy = -2.51 eV per atom

a = 8.295 Å, b = 8.295 Å, c = 8.295 Å
α = 152.01°, β = 151.48°, γ = 40.39°
Element x y z (fractional)
Tl1 0.000 0.000 0.000
Cd1 0.251 0.751 0.500
Te1 0.608 0.608 0.000
Te2 0.829 0.329 0.500



Entry 4:
Computed, not measured: an optimized crystal structure of TlCdTe2 at the PBE level of DFT.

Computed properties:
Space group = P4mm, No. 99
Calculated volume = 31.63 Å³/atom
Formation energy without anion corrections = 0.0562 eV per atom
VASP energy = -2.33 eV per atom

a = 3.211 Å, b = 3.211 Å, c = 12.269 Å
α = 90.00°, β = 90.00°, γ = 90.00°
Element x y z (fractional)
Tl1 0.000 0.000 0.000
Cd1 0.500 0.500 0.229
Te1 0.000 0.000 0.445
Te2 0.500 0.500 0.772



Entry 5:
Computed, not measured: an optimized crystal structure of TlCd2Te at the PBE level of DFT.

Computed properties:
Space group = P2/m, No. 10
Calculated volume = 28.67 Å³/atom
Formation energy without anion corrections = -0.0391 eV per atom
Offset from the most stable computed form = 27.6 meV per atom
VASP energy = -1.87 eV per atom

a = 4.664 Å, b = 4.255 Å, c = 5.778 Å
α = 90.00°, β = 90.51°, γ = 90.00°
Element x y z (fractional)
Tl1 0.000 0.000 0.000
Cd1 0.500 0.000 0.500
Cd2 0.500 0.500 0.000
Te1 0.000 0.500 0.500



Entry 6:
Computed, not measured: an optimized crystal structure of Tl2CdTe at the PBE level of DFT.

Computed properties:
Space group = P4/mmm, No. 123
Calculated volume = 30.97 Å³/atom
Formation energy without anion corrections = -0.1125 eV per atom
Offset from the most stable computed form = 11.8 meV per atom
VASP energy = -2.31 eV per atom

a = 5.078 Å, b = 5.078 Å, c = 4.803 Å
α = 90.00°, β = 90.00°, γ = 90.00°
Element x y z (fractional)
Tl1 0.000 0.500 0.000
Tl2 0.500 0.000 0.000
Cd1 0.000 0.000 0.500
Te1 0.500 0.500 0.500



Entry 7:
Computed, not measured: an optimized crystal structure of Tl2CdTe at the PBE level of DFT.

Computed properties:
Space group = P4/mmm, No. 123
Calculated volume = 31.39 Å³/atom
Formation energy without anion corrections = -0.0746 eV per atom
Offset from the most stable computed form = 49.8 meV per atom
VASP energy = -2.27 eV per atom

a = 4.024 Å, b = 4.024 Å, c = 7.752 Å
α = 90.00°, β = 90.00°, γ = 90.00°
Element x y z (fractional)
Tl1 0.000 0.000 0.241
Tl2 0.000 0.000 0.759
Cd1 0.500 0.500 0.500
Te1 0.500 0.500 0.000



Entry 8:
Computed, not measured: an optimized crystal structure of TlCdTe2 at the PBE level of DFT.

Computed properties:
Space group = Fm-3m, No. 225
Calculated volume = 29.29 Å³/atom
Formation energy without anion corrections = -0.0196 eV per atom
VASP energy = -2.41 eV per atom

a = 5.492 Å, b = 5.492 Å, c = 5.492 Å
α = 60.00°, β = 60.00°, γ = 60.00°
Element x y z (fractional)
Tl1 0.000 0.000 0.000
Cd1 0.500 0.500 0.500
Te1 0.250 0.250 0.250
Te2 0.750 0.750 0.750



no.,DOS(E_F) (states/eV per atom)
1,0.3243
2,0.4163
3,0.6161
4,0.3434
5,0.3440
6,0.2819
7,0.5915
8,0.6735